1.
An optimized crystal structure of ZrOsBr2. Source: Alexandria via LeMat-Bulk, functional PBE.

Lattice parameters (Å, degrees): 7.746 7.746 4.346 88.55 88.55 24.73
Sites, in units of the cell vectors:
Br 0.394 0.394 0.527
Zr 0.750 0.750 0.750
Br 0.106 0.106 0.973
Os 0.250 0.250 0.250

Values from the calculation:
Density of states at the Fermi level = 1.2 states/eV/f.u.
Energy relative to the elements, uncorrected = -0.251 eV/atom
VASP energy = -6.03 eV per atom


2.
An optimized crystal structure of Pa2Ni6Ge3. Source: Alexandria via LeMat-Bulk, functional PBE.

Lattice parameters (Å, degrees): 4.109 6.963 6.963 120.00 90.00 90.00
Sites, in units of the cell vectors:
Ge 0.500 0.368 0.368
Ni 0.500 0.000 0.298
Ge 0.500 0.632 0.000
Ni 0.500 0.702 0.702
Ni 0.000 0.202 0.202
Pa 0.000 0.333 0.667
Ni 0.000 0.000 0.798
Ge 0.500 0.000 0.632
Pa 0.000 0.667 0.333
Ni 0.500 0.298 0.000
Ni 0.000 0.798 0.000

Values from the calculation:
Density of states at the Fermi level = 6.8 states/eV/f.u.
VASP energy = -6.55 eV per atom


3.
An optimized crystal structure of K2CaZn2O4. Source: Alexandria via LeMat-Bulk, functional PBE.

Lattice parameters (Å, degrees): 3.482 6.534 6.976 109.00 104.45 90.00
Sites, in units of the cell vectors:
Zn 0.329 0.024 0.658
Ca 0.000 0.000 0.000
K 0.878 0.472 0.756
O 0.473 0.219 0.945
K 0.122 0.528 0.244
O 0.527 0.781 0.055
O 0.206 0.153 0.412
O 0.794 0.847 0.588
Zn 0.671 0.976 0.342

Values from the calculation:
Density of states at the Fermi level = 0.0 states/eV/f.u.
Energy relative to the elements, uncorrected = -1.676 eV/atom
VASP energy = -4.63 eV per atom


4.
An optimized crystal structure of LiDy2Sb. Source: Alexandria via LeMat-Bulk, functional PBE.

Lattice parameters (Å, degrees): 5.194 5.194 5.194 60.00 60.00 60.00
Sites, in units of the cell vectors:
Li 0.000 0.000 0.000
Dy 0.250 0.250 0.250
Sb 0.500 0.500 0.500
Dy 0.750 0.750 0.750

Values from the calculation:
Density of states at the Fermi level = 3.0 states/eV/f.u.
Energy relative to the elements, uncorrected = -0.435 eV/atom
VASP energy = -4.25 eV per atom


Question: The lowest VASP energy belongs to which entry?
Answer: Pa2Ni6Ge3


Question: Which value of density of states at the Fermi level does entry 3 give?
Answer: 0.0 states/eV/f.u.


Question: The lowest VASP energy belongs to which entry?
Answer: Pa2Ni6Ge3